Computed, not measured: a geometry-optimized KCaRu2 structure at the PBE level of DFT.

Cell: 4.9964 4.9964 4.9964 Å, 60.00 60.00 60.00°
Fractional positions:
K 0.0000 0.0000 0.0000
Ca 0.5000 0.5000 0.5000
Ru 0.2500 0.2500 0.2500
Ru 0.7500 0.7500 0.7500

Values from the calculation:
As for the magnetic moment: 2.6 μB per formula unit. As for the crystal system: cubic. Its distance to the lowest polymorph of the same formula is 979 meV/atom.

---

Computed, not measured: a geometry-optimized KCa2Ru structure at the PBE level of DFT.

Cell: 5.4261 5.4261 5.4261 Å, 60.00 60.00 60.00°
Fractional positions:
K 0.0000 0.0000 0.0000
Ca 0.5000 0.5000 0.5000
Ca 0.7500 0.7500 0.7500
Ru 0.2500 0.2500 0.2500

Values from the calculation:
As for the magnetic moment: 0.0 μB per formula unit. As for the crystal system: cubic. Its distance to the lowest polymorph of the same formula is 525 meV/atom.

---

Computed, not measured: a geometry-optimized K2CaRu structure at the PBE level of DFT.

Cell: 7.1460 7.1460 3.6214 Å, 103.03 103.03 127.72°
Fractional positions:
K 0.0000 0.5000 0.0000
K 0.5000 0.0000 0.0000
Ca 0.0000 0.0000 0.5000
Ru 0.5000 0.5000 0.5000

Values from the calculation:
As for the magnetic moment: 0.9 μB per formula unit. As for the crystal system: monoclinic. Its distance to the lowest polymorph of the same formula is 358 meV/atom.

---

What did the first record say?
Computed, not measured: a geometry-optimized KCaRu2 structure at the PBE level of DFT.

Cell: 4.9964 4.9964 4.9964 Å, 60.00 60.00 60.00°
Fractional positions:
K 0.0000 0.0000 0.0000
Ca 0.5000 0.5000 0.5000
Ru 0.2500 0.2500 0.2500
Ru 0.7500 0.7500 0.7500

Values from the calculation:
As for the magnetic moment: 2.6 μB per formula unit. As for the crystal system: cubic. Its distance to the lowest polymorph of the same formula is 979 meV/atom.